Here is a geometry-optimized Cs3K2Na structure from Alexandria. Energies are from PBE.

Cell: 12.6402 12.6402 9.4425 Å, 98.74 98.74 43.48°
Closest atoms and distances in Å follow each position.
Atoms (fractional coordinates):
Cs (0.2270, 0.7730, 0.7500)  4 Na 4.65-4.74, 4 K 4.78-4.87, 2 Cs 5.06
Cs (0.2742, 0.3986, 0.9704)  1 Na 4.57, 5 K 4.76-5.10, 3 Cs 4.86-5.06
Cs (0.3986, 0.2742, 0.4704)  1 Na 4.57, 5 K 4.76-5.10, 3 Cs 4.86-5.06
Cs (0.6014, 0.7258, 0.5296)  1 Na 4.57, 5 K 4.76-5.10, 3 Cs 4.86-5.06
Cs (0.7258, 0.6014, 0.0296)  1 Na 4.57, 5 K 4.76-5.10, 3 Cs 4.86-5.06
Cs (0.7730, 0.2270, 0.2500)  4 Na 4.65-4.74, 4 K 4.78-4.87, 2 Cs 5.06
K (0.0856, 0.2187, 0.6311)  1 Na 4.35, 4 Cs 4.76-4.87
K (0.2187, 0.0856, 0.1311)  1 Na 4.35, 4 Cs 4.76-4.87
K (0.7813, 0.9144, 0.8689)  1 Na 4.35, 4 Cs 4.76-4.87
K (0.9144, 0.7813, 0.3689)  1 Na 4.35, 4 Cs 4.76-4.87
Na (0.2696, 0.7304, 0.2500)  2 K 4.35, 6 Cs 4.57-4.74
Na (0.7304, 0.2696, 0.7500)  2 K 4.35, 6 Cs 4.57-4.74

Output
SG: C2/c, No. 15

***

Here is a geometry-optimized Cs12K7Na structure from Alexandria. Energies are from PBE.

Cell: 13.1016 13.1016 13.1016 Å, 106.31 106.31 106.31°
Closest atoms and distances in Å follow each position.
Atoms (fractional coordinates):
Cs (0.0791, 0.2882, 0.7953)  2 K 4.69-4.90, 2 Cs 5.10-5.20
Cs (0.1372, 0.4247, 0.2198)  4 K 4.63-5.15, 1 Na 4.75, 1 Cs 5.10
Cs (0.2047, 0.9209, 0.7118)  2 K 4.69-4.90, 2 Cs 5.10-5.20
Cs (0.2198, 0.1372, 0.4247)  4 K 4.63-5.15, 1 Na 4.75, 1 Cs 5.10
Cs (0.2882, 0.7953, 0.0791)  2 K 4.69-4.90, 2 Cs 5.10-5.20
Cs (0.4247, 0.2198, 0.1372)  4 K 4.63-5.15, 1 Na 4.75, 1 Cs 5.10
Cs (0.5753, 0.7802, 0.8628)  4 K 4.63-5.15, 1 Na 4.75, 1 Cs 5.10
Cs (0.7118, 0.2047, 0.9209)  2 K 4.69-4.90, 2 Cs 5.10-5.20
Cs (0.7802, 0.8628, 0.5753)  4 K 4.63-5.15, 1 Na 4.75, 1 Cs 5.10
Cs (0.7953, 0.0791, 0.2882)  2 K 4.69-4.90, 2 Cs 5.10-5.20
Cs (0.8628, 0.5753, 0.7802)  4 K 4.63-5.15, 1 Na 4.75, 1 Cs 5.10
Cs (0.9209, 0.7118, 0.2047)  2 K 4.69-4.90, 2 Cs 5.10-5.20
K (0.0000, 0.0000, 0.0000)  12 Cs 5.00-5.25
K (0.1904, 0.5261, 0.6045)  5 Cs 4.63-5.15, 1 Na 4.70, 3 K 4.71-4.95
K (0.3955, 0.8096, 0.4739)  5 Cs 4.63-5.15, 1 Na 4.70, 3 K 4.71-4.95
K (0.4739, 0.3955, 0.8096)  5 Cs 4.63-5.15, 1 Na 4.70, 3 K 4.71-4.95
K (0.5261, 0.6045, 0.1904)  5 Cs 4.63-5.15, 1 Na 4.70, 3 K 4.71-4.95
K (0.6045, 0.1904, 0.5261)  5 Cs 4.63-5.15, 1 Na 4.70, 3 K 4.71-4.95
K (0.8096, 0.4739, 0.3955)  5 Cs 4.63-5.15, 1 Na 4.70, 3 K 4.71-4.95
Na (0.5000, 0.5000, 0.5000)  6 K 4.70, 6 Cs 4.75

Output
SG: R-3, No. 148

***

Here is a geometry-optimized Cs5K2Na4 structure from Alexandria. Energies are from PBE.

Cell: 15.5705 15.5705 12.4440 Å, 113.37 113.37 18.18°
Closest atoms and distances in Å follow each position.
Atoms (fractional coordinates):
Cs (0.0000, 0.0000, 0.0000)  4 Na 4.46, 2 Cs 4.92
Cs (0.3396, 0.3396, 0.0557)  4 Na 4.36-4.64
Cs (0.3395, 0.3395, 0.6236)  4 Na 4.34-4.63
Cs (0.6605, 0.6605, 0.3764)  4 Na 4.34-4.63
Cs (0.6604, 0.6604, 0.9443)  4 Na 4.36-4.64
K (0.0765, 0.0765, 0.5764)  5 Na 3.99-4.12, 1 K 4.31
K (0.9235, 0.9235, 0.4236)  5 Na 3.99-4.12, 1 K 4.31
Na (0.2181, 0.2181, 0.7184)  1 K 3.99, 2 Cs 4.34-4.36
Na (0.5000, 0.5000, 0.2988)  4 K 4.12, 2 Cs 4.46
Na (0.5000, 0.5000, 0.7012)  4 K 4.12, 2 Cs 4.46
Na (0.7819, 0.7819, 0.2816)  1 K 3.99, 2 Cs 4.34-4.36

Output
SG: C2/m, No. 12

***

Number 1: calculated volume 85.34 A^3/atom, formation enthalpy at 0 K 0.0344 eV/atom. Number 2: calculated volume 95.36 A^3/atom, formation enthalpy at 0 K 0.0137 eV/atom. Number 3: calculated volume 78.37 A^3/atom, formation enthalpy at 0 K 0.0465 eV/atom.